VASP calculation (PBE) on a geometry-optimized Pa2CrCuS5 structure.

Summary:
M_tot: 5.287 μB per formula unit
Energy relative to the elements, uncorrected: -1.11 eV per atom
Raw total energy: -7.040 eV per atom

Cell: 3.756 8.208 11.054 Å, 90.00 90.00 103.23°
Atoms (fractional coordinates):
Pa 0.872 0.744 0.806
Cr 0.199 0.399 0.011
S 0.696 0.393 0.853
S 0.952 0.905 0.563
S 0.304 0.607 0.353
Pa 0.113 0.227 0.693
Pa 0.128 0.256 0.306
S 0.290 0.579 0.662
Cu 0.434 0.868 0.454
Cu 0.566 0.132 0.954
S 0.498 0.996 0.777
Cr 0.801 0.601 0.511
S 0.502 0.004 0.277
Pa 0.887 0.773 0.193
S 0.710 0.421 0.162
S 0.355 0.710 0.005
S 0.645 0.290 0.505
S 0.048 0.095 0.063

VASP calculation (PBE) on a geometry-optimized Cr3CuPb structure.

Summary:
M_tot: 11.412 μB per formula unit
ΔH_f (0 K): 1.106 eV/atom
Polymorph energy (0 for the lowest one): 0 meV/atom
Raw total energy: -6.228 eV per atom

Cell: 4.687 4.687 4.687 Å, 90.00 90.00 90.00°
Atoms (fractional coordinates):
Cu 0.000 0.000 0.000
Cr 0.000 0.000 0.500
Cr 0.000 0.500 0.000
Cr 0.500 0.000 0.000
Pb 0.500 0.500 0.500

VASP calculation (PBE) on a geometry-optimized CrCu2Pb structure.

Summary:
M_tot: 4.025 μB per formula unit
ΔH_f (0 K): 0.417 eV/atom
Raw total energy: -4.964 eV per atom

Cell: 4.134 3.261 5.415 Å, 72.14 90.00 90.00°
Atoms (fractional coordinates):
Cu 0.500 0.066 0.241
Pb 0.000 0.456 0.458
Cr 0.500 0.779 0.821
Cu 0.000 0.199 0.981

VASP calculation (PBE) on a geometry-optimized Cr2CuPb2 structure.

Summary:
M_tot: 0.000 μB per formula unit
ΔH_f (0 K): 0.756 eV/atom
Polymorph energy (0 for the lowest one): 0 meV/atom
Raw total energy: -5.396 eV per atom

Cell: 7.488 7.488 3.321 Å, 90.00 90.00 90.00°
Atoms (fractional coordinates):
Cu 0.500 0.500 0.000
Pb 0.307 0.193 0.500
Cr 0.598 0.098 0.000
Cr 0.402 0.902 0.000
Pb 0.693 0.807 0.500
Pb 0.807 0.307 0.500
Cu 0.000 0.000 0.000
Cr 0.902 0.598 0.000
Pb 0.193 0.693 0.500
Cr 0.098 0.402 0.000